Record 1
{"formula": "ScV3Rh", "functional": "GGA-PBE", "state": "relaxed", "lattice_angstrom": [[4.627, 0.000, 0.000], [0.000, 4.627, 0.000], [0.000, 0.000, 4.627]], "species": ["Sc", "Rh", "V", "V", "V"], "frac_coords": [[0.500, 0.500, 0.500], [0.000, 0.000, 0.000], [0.000, 0.500, 0.000], [0.000, 0.000, 0.500], [0.500, 0.000, 0.000]], "m_tot_mub_per_atom": 0.8635, "de_polymorph_kj_per_mol_atoms": 0.0, "e_form_ev_per_atom": 0.74}


Record 2
{"formula": "CePr2Nd", "functional": "GGA-PBE", "state": "relaxed", "lattice_angstrom": [[5.166, 0.000, 0.000], [0.000, 5.164, 0.000], [0.000, 0.000, 5.164]], "species": ["Pr", "Pr", "Nd", "Ce"], "frac_coords": [[0.000, 0.000, 0.500], [0.000, 0.500, 0.000], [0.500, 0.000, 0.000], [0.500, 0.500, 0.500]], "m_tot_mub_per_atom": 0.2061, "de_polymorph_kj_per_mol_atoms": 1.8, "e_form_ev_per_atom": 0.08}


Record 3
{"formula": "Ca2NdCd5", "functional": "GGA-PBE", "state": "relaxed", "lattice_angstrom": [[5.121, 0.000, -1.408], [-0.387, 5.106, -1.408], [-0.457, -0.493, 8.355]], "species": ["Ca", "Ca", "Nd", "Cd", "Cd", "Cd", "Cd", "Cd"], "frac_coords": [[0.741, 0.741, 0.481], [0.259, 0.259, 0.519], [0.000, 0.000, 0.000], [0.500, 0.500, 0.000], [0.879, 0.379, 0.759], [0.379, 0.879, 0.759], [0.121, 0.621, 0.241], [0.621, 0.121, 0.241]], "m_tot_mub_per_atom": 0.0000, "e_form_ev_per_atom": -0.32}


Record 4
{"formula": "La2HgBiIr", "functional": "GGA-PBE", "state": "relaxed", "lattice_angstrom": [[-2.519, 4.641, -1.627], [1.358, -1.101, -5.241], [-4.452, -2.628, -0.602]], "species": ["Ir", "La", "La", "Bi", "Hg"], "frac_coords": [[0.000, 0.000, 0.000], [0.000, 0.500, 0.000], [0.500, 0.000, 0.000], [0.500, 0.500, 0.500], [0.000, 0.000, 0.500]], "m_tot_mub_per_atom": 0.0000, "e_form_ev_per_atom": -0.61}


Record 5
{"formula": "BeNbGe3", "functional": "GGA-PBE", "state": "relaxed", "lattice_angstrom": [[-1.133, 0.272, 4.266], [-0.463, -4.395, 0.158], [4.250, -0.406, 1.155]], "species": ["Be", "Nb", "Ge", "Ge", "Ge"], "frac_coords": [[0.000, 0.000, 0.000], [0.500, 0.500, 0.500], [0.000, 0.500, 0.000], [0.000, 0.000, 0.500], [0.500, 0.000, 0.000]], "m_tot_mub_per_atom": 0.0004, "de_polymorph_kj_per_mol_atoms": 0.0, "e_form_ev_per_atom": 0.76}


Record 6
{"formula": "KNi", "functional": "GGA-PBE", "state": "relaxed", "lattice_angstrom": [[-0.375, 3.711, 1.010], [-3.166, 0.279, -2.197], [-2.183, -1.041, 3.014]], "species": ["K", "Ni"], "frac_coords": [[0.000, 0.000, 0.000], [0.500, 0.500, 0.500]], "m_tot_mub_per_atom": 0.4338, "de_polymorph_kj_per_mol_atoms": 54.3, "e_form_ev_per_atom": 1.08}